(1)
# K2Pt2Se, optimized geometry, DFT PBEsol
# density of states at the Fermi level: 0.912 states/eV/atom
# SG: I4/mmm (139)
# raw formation energy: -182 meV per atom
data_K2Pt2Se
_cell_length_a 3.591
_cell_length_b 3.591
_cell_length_c 10.250
_cell_angle_alpha 100.09
_cell_angle_beta 100.09
_cell_angle_gamma 90.00
_space_group_name_H-M_alt 'P 1'
_space_group_IT_number 1
loop_
_space_group_symop_operation_xyz
'x,y,z'
loop_
_atom_site_label
_atom_site_type_symbol
_atom_site_fract_x
_atom_site_fract_y
_atom_site_fract_z
K1 K 0.605 0.605 0.211
K2 K 0.395 0.395 0.789
Pt1 Pt 0.250 0.750 0.500
Pt2 Pt 0.750 0.250 0.500
Se1 Se 0.000 0.000 0.000



(2)
# MoAuSe2, optimized geometry, DFT PBEsol
# density of states at the Fermi level: 0.832 states/eV/atom
# SG: Immm (71)
# raw formation energy: 47 meV per atom
data_MoAuSe2
_cell_length_a 2.943
_cell_length_b 4.804
_cell_length_c 6.408
_cell_angle_alpha 112.01
_cell_angle_beta 103.28
_cell_angle_gamma 90.00
_space_group_name_H-M_alt 'P 1'
_space_group_IT_number 1
loop_
_space_group_symop_operation_xyz
'x,y,z'
loop_
_atom_site_label
_atom_site_type_symbol
_atom_site_fract_x
_atom_site_fract_y
_atom_site_fract_z
Mo1 Mo 0.000 0.500 0.000
Se1 Se 0.674 0.674 0.348
Se2 Se 0.326 0.326 0.652
Au1 Au 0.500 0.000 0.000